# LiTa3O

A crystal of LiTa3O relaxed with PBEsol (SCAN, the Alexandria database).

N(E_F) (states/eV per cell): 4.94
ΔE_f (raw) (eV/atom): -0.30
Uncorrected energy (eV per atom): -41.97

Lattice parameters (Å, degrees): 4.192 4.192 4.192 90.00 90.00 90.00
Sites, in units of the cell vectors:
Ta 0.500 0.000 0.000
Ta 0.000 0.000 0.500
Ta 0.000 0.500 0.000
O 0.000 0.000 0.000
Li 0.500 0.500 0.500